NdB3O6: single point on PBEsol structure, SCAN.

Geometry as POSCAR:
```
NdB3O6
1.0
4.8716 -4.0387 0.0000
4.8716 4.0387 0.0000
-3.7290 0.0000 5.1016
Nd B O
2 6 12
Direct
0.1972 0.8028 0.7500
0.8028 0.1972 0.2500
0.2093 0.3413 0.9148
0.2198 0.7802 0.2500
0.3413 0.2093 0.4148
0.6587 0.7907 0.5852
0.7802 0.2198 0.7500
0.7907 0.6587 0.0852
0.0045 0.7849 0.2903
0.2091 0.5865 0.0061
0.2107 0.3904 0.4998
0.2151 0.9955 0.2097
0.3904 0.2107 0.9998
0.4135 0.7909 0.4939
0.5865 0.2091 0.5061
0.6096 0.7893 0.0002
0.7849 0.0045 0.7903
0.7893 0.6096 0.5002
0.7909 0.4135 0.9939
0.9955 0.2151 0.7097
```

Computed properties:
energy: -13.33 eV per atom
total magnetic moment: 0.00 μB per cell
crystal system: monoclinic
ρ: 4511 kg/m³
energy relative to the elements, uncorrected: -3006 meV/atom